# 1
{"formula": "BaHg8Bi4", "functional": "GGA-PBE", "state": "relaxed", "spacegroup": "I4/mmm, No. 139", "delta_e_f_ev_per_atom": -0.070, "lattice_angstrom": [[-5.3072, 5.3072, 3.5169], [5.3072, -5.3072, 3.5169], [5.3072, 5.3072, -3.5169]], "species": ["Ba", "Hg", "Hg", "Hg", "Hg", "Hg", "Hg", "Hg", "Hg", "Bi", "Bi", "Bi", "Bi"], "frac_coords": [[0.0000, 0.0000, 0.0000], [0.0000, 0.3608, 0.3608], [0.0000, 0.6392, 0.6392], [0.2886, 0.5000, 0.7886], [0.3608, 0.0000, 0.3608], [0.5000, 0.2886, 0.7886], [0.5000, 0.7114, 0.2114], [0.6392, 0.0000, 0.6392], [0.7114, 0.5000, 0.2114], [0.0000, 0.0000, 0.5000], [0.0000, 0.5000, 0.0000], [0.5000, 0.0000, 0.0000], [0.5000, 0.5000, 0.5000]]}



# 2
{"formula": "Pm5Sm4Th", "functional": "GGA-PBE", "state": "relaxed", "spacegroup": "C2/m, No. 12", "delta_e_f_ev_per_atom": 0.023, "lattice_angstrom": [[12.9638, -1.8226, 0.0000], [12.9638, 1.8226, 0.0000], [-1.0301, 0.0000, 7.2014]], "species": ["Pm", "Pm", "Pm", "Pm", "Pm", "Sm", "Sm", "Sm", "Sm", "Th"], "frac_coords": [[0.0000, 0.0000, 0.0000], [0.1999, 0.1999, 0.0989], [0.4024, 0.4024, 0.6945], [0.5976, 0.5976, 0.3055], [0.8001, 0.8001, 0.9011], [0.2009, 0.2009, 0.6016], [0.4027, 0.4027, 0.2081], [0.5973, 0.5973, 0.7919], [0.7991, 0.7991, 0.3984], [0.0000, 0.0000, 0.5000]]}